Compound: Pm6Te3AuSe2
Source: the Alexandria database
Functional: GGA-PBE
Structure: relaxed

The structure in extended XYZ format:
```
12
Lattice="3.7555 -6.4941 0.0000 3.7555 6.4941 0.0000 -2.5003 0.0000 7.1878" Properties=species:S:1:pos:R:3 pbc="T T T"
Pm 1.2447 2.1624 1.6450
Pm -0.0043 0.0000 5.5384
Pm 1.2447 -2.1624 1.6450
Pm 3.7659 2.1624 5.5428
Pm 5.0148 0.0000 1.6494
Pm 3.7659 -2.1624 5.5428
Te 2.5053 4.3085 3.5939
Te 2.5053 0.0000 3.5939
Te 2.5053 -4.3085 3.5939
Au 0.0000 0.0000 0.0000
Se 3.7555 2.1523 0.0000
Se 3.7555 -2.1523 0.0000
```

Calculated values
Mass density, g/cm³: 7.615
Crystal system: monoclinic
Spin magnetization, μB/f.u.: 0.00
SG: No. 12
Formation energy from raw total energies, eV per formula unit: -17.694